(1)
Ge2Pt2O5 | PBE-GGA | optimized geometry

## Properties
**Calculated total energy**: -47.98 eV/cell
**Total moment**: 0.0 μB/f.u.
**Volume**: 11.9 Å³ per atom

a = 6.881 Å, b = 3.952 Å, c = 3.952 Å
α = 90.00°, β = 90.00°, γ = 90.00°
Atoms (fractional coordinates):
1 Ge 0.500 0.000 0.000
2 O 0.755 0.500 0.000
3 Pt 0.190 0.500 0.500
4 O 0.755 0.000 0.500
5 Pt 0.810 0.500 0.500
6 O 0.245 0.500 0.000
7 O 0.500 0.500 0.500
8 Ge 0.000 0.000 0.000
9 O 0.245 0.000 0.500

(2)
GePtO | PBE-GGA | optimized geometry

## Properties
**Calculated total energy**: -32.77 eV/cell
**Total moment**: 0.0 μB/f.u.
**Volume**: 15.2 Å³ per atom

a = 5.392 Å, b = 3.237 Å, c = 5.463 Å
α = 90.00°, β = 106.71°, γ = 90.00°
Atoms (fractional coordinates):
1 O 0.739 0.000 0.636
2 Ge 0.278 0.500 0.849
3 Ge 0.722 0.500 0.151
4 Pt 0.500 0.500 0.500
5 Pt 0.000 0.000 0.000
6 O 0.261 0.000 0.364

(3)
GePtO | PBE-GGA | optimized geometry

## Properties
**Calculated total energy**: -36.00 eV/cell
**Total moment**: 0.0 μB/f.u.
**Volume**: 14.5 Å³ per atom

a = 3.446 Å, b = 5.541 Å, c = 4.540 Å
α = 90.00°, β = 90.00°, γ = 90.00°
Atoms (fractional coordinates):
1 Ge 0.500 0.352 0.657
2 Pt 0.500 0.763 0.496
3 O 0.500 0.136 0.348
4 Pt 0.000 0.237 0.996
5 O 0.000 0.864 0.848
6 Ge 0.000 0.648 0.157